Material: HfAlH
Method: DFT, PBE-GGA
State: optimized geometry

Lattice parameters (Å, degrees): 5.1508 3.0834 10.8388 90.00 90.00 90.00
Element x y z (fractional)
Al1 0.8028 0.2500 0.4567
Al2 0.3028 0.2500 0.0433
Al3 0.6972 0.7500 0.9567
Al4 0.1972 0.7500 0.5433
Hf1 0.3175 0.2500 0.3197
Hf2 0.1825 0.7500 0.8197
Hf3 0.8175 0.2500 0.1803
Hf4 0.6825 0.7500 0.6803
H1 0.0674 0.7500 0.2503
H2 0.5674 0.7500 0.2497
H3 0.4326 0.2500 0.7503
H4 0.9326 0.2500 0.7497

Results
ΔE to the lowest computed polymorph	231	meV per atom
N(E_F)	0.35	states/eV per atom